This record from the Alexandria database describes B7C5 after structural relaxation. The functional is PBE-GGA. Values from VASP.

Summary:
DOS(E_F): 1.271 states/eV/f.u.
crystal system: monoclinic
energy: -7.29 eV/atom
calculated formation energy: 0.4498 eV per atom
SG: No. 8

Cell and atoms, written as Quantum ESPRESSO input:
```
&SYSTEM
  ibrav = 0, nat = 12, ntyp = 2
/
ATOMIC_SPECIES
B 10.81 B.upf
C 12.01 C.upf
CELL_PARAMETERS angstrom
4.227 0.019 -2.068
3.393 2.521 -2.068
-0.109 -0.036 8.007
ATOMIC_POSITIONS crystal
B 0.507 0.507 0.909
C 0.830 0.830 0.526
B 0.314 0.314 0.178
B 0.632 0.632 0.779
B 0.846 0.846 0.046
B 0.002 0.002 0.521
B 0.512 0.512 0.358
C 0.674 0.674 0.336
B 0.334 0.334 0.649
C 0.183 0.183 0.715
C 0.005 0.005 0.018
C 0.161 0.161 0.215
```

=====

This record from the Alexandria database describes BC after structural relaxation. The functional is PBE-GGA. Values from VASP.

Summary:
DOS(E_F): 0.399 states/eV/f.u.
crystal system: tetragonal
energy: -7.57 eV/atom
calculated formation energy: 0.3761 eV per atom
SG: No. 95

Cell and atoms, written as Quantum ESPRESSO input:
```
&SYSTEM
  ibrav = 0, nat = 8, ntyp = 2
/
ATOMIC_SPECIES
B 10.81 B.upf
C 12.01 C.upf
CELL_PARAMETERS angstrom
-3.032 2.012 -1.407
-2.217 -1.918 2.035
0.391 2.603 2.880
ATOMIC_POSITIONS crystal
B 0.250 0.250 0.709
B 0.959 0.000 0.000
C 0.975 0.500 0.500
C 0.750 0.250 0.275
B 0.541 0.500 0.000
B 0.250 0.750 0.291
C 0.525 0.000 0.500
C 0.750 0.750 0.725
```

=====

Copy entry 2 word for word.
This record from the Alexandria database describes BC after structural relaxation. The functional is PBE-GGA. Values from VASP.

Summary:
DOS(E_F): 0.399 states/eV/f.u.
crystal system: tetragonal
energy: -7.57 eV/atom
calculated formation energy: 0.3761 eV per atom
SG: No. 95

Cell and atoms, written as Quantum ESPRESSO input:
```
&SYSTEM
  ibrav = 0, nat = 8, ntyp = 2
/
ATOMIC_SPECIES
B 10.81 B.upf
C 12.01 C.upf
CELL_PARAMETERS angstrom
-3.032 2.012 -1.407
-2.217 -1.918 2.035
0.391 2.603 2.880
ATOMIC_POSITIONS crystal
B 0.250 0.250 0.709
B 0.959 0.000 0.000
C 0.975 0.500 0.500
C 0.750 0.250 0.275
B 0.541 0.500 0.000
B 0.250 0.750 0.291
C 0.525 0.000 0.500
C 0.750 0.750 0.725
```